Entry 1:
# Ru3Pt, optimized geometry, DFT PBE-GGA
data_Ru3Pt
_space_group_name_H-M_alt 'F m -3 m'
_space_group_IT_number 225
_space_group_name_Hall '-F 4 2 3'
_cell_length_a 6.193
_cell_length_b 6.193
_cell_length_c 6.193
_cell_angle_alpha 90.00
_cell_angle_beta 90.00
_cell_angle_gamma 90.00
loop_
_atom_site_label
_atom_site_fract_x
_atom_site_fract_y
_atom_site_fract_z
Ru1 0.000 0.000 0.000
Ru2 0.250 0.250 0.250
Pt1 0.000 0.000 0.500
# Energy of formation from the pure elements (meV/atom): 491
# VASP energy (eV per atom): -7.9761

***

Entry 2:
# Ru2Pt, optimized geometry, DFT PBE-GGA
data_Ru2Pt
_space_group_name_H-M_alt 'C m c m'
_space_group_IT_number 63
_space_group_name_Hall '-C 2c 2'
_cell_length_a 3.861
_cell_length_b 11.621
_cell_length_c 3.865
_cell_angle_alpha 90.00
_cell_angle_beta 90.00
_cell_angle_gamma 90.00
loop_
_atom_site_label
_atom_site_fract_x
_atom_site_fract_y
_atom_site_fract_z
Ru1 0.000 0.090 0.250
Ru2 0.000 0.253 0.750
Pt1 0.000 0.415 0.250
# Offset from the most stable computed form (kJ/mol of atoms): 3.2
# Energy of formation from the pure elements (meV/atom): 14
# VASP energy (eV per atom): -8.1835

***

Entry 3:
# Ru2Pt, optimized geometry, DFT PBE-GGA
data_Ru2Pt
_space_group_name_H-M_alt 'P 4/m m m'
_space_group_IT_number 123
_space_group_name_Hall '-P 4 2'
_cell_length_a 4.508
_cell_length_b 4.508
_cell_length_c 2.661
_cell_angle_alpha 90.00
_cell_angle_beta 90.00
_cell_angle_gamma 90.00
loop_
_atom_site_label
_atom_site_fract_x
_atom_site_fract_y
_atom_site_fract_z
Ru1 0.000 0.500 0.000
Pt1 0.000 0.000 0.500
# Offset from the most stable computed form (kJ/mol of atoms): 98.0
# Energy of formation from the pure elements (meV/atom): 997
# VASP energy (eV per atom): -7.2006